Entry from the Alexandria database: a relaxed LiAc2As3Ir4 crystal (PBE-GGA).

a b c (Å): 4.258 4.258 10.652
angles (deg): 90.00 90.00 90.00
Sites, in units of the cell vectors:
As (0.000, 0.500, 0.133)
As (0.000, 0.000, 0.500)
Ir (0.500, 0.000, 0.636)
As (0.500, 0.000, 0.867)
Ir (0.000, 0.000, 0.000)
Li (0.500, 0.500, 0.500)
Ac (0.000, 0.500, 0.741)
Ir (0.500, 0.500, 0.000)
Ir (0.000, 0.500, 0.364)
Ac (0.500, 0.000, 0.259)

## Properties
Calculated formation energy   -0.708 eV per atom
Total moment   0.0 μB per formula unit